No. 1
Below is a relaxed structure of ZrScBe2, with properties calculated at the PBE level.

The total energy comes out at -0.187 hartree per atom.

It has space group F-43m (No. 216), with a = 6.3671 Å, b = 6.3671 Å, c = 6.3671 Å, α = 90.00°, β = 90.00° and γ = 90.00°. The distinct sites, in fractional coordinates, are Zr at (0.0000, 0.0000, 0.0000), Sc at (0.2500, 0.2500, 0.2500), Be at (0.0000, 0.0000, 0.5000) and Be at (0.2500, 0.2500, 0.7500).

No. 2
Below is a relaxed structure of Ho2Sb2O5, with properties calculated at the PBE level.

For the excess energy over the best structure of this formula in the dataset, the calculation gives 509 meV per atom.

It has space group P4/mmm (No. 123), with a = 3.9769 Å, b = 3.9769 Å, c = 8.2707 Å, α = 90.00°, β = 90.00° and γ = 90.00°. The distinct sites, in fractional coordinates, are Ho at (0.0000, 0.0000, 0.0000), Ho at (0.0000, 0.0000, 0.5000), Sb at (0.5000, 0.5000, 0.2392), O at (0.0000, 0.5000, 0.3132) and O at (0.5000, 0.5000, 0.5000).

No. 3
Below is a relaxed structure of HoTaTl, with properties calculated at the PBE level.

For the excess energy over the best structure of this formula in the dataset, the calculation gives 414 meV per atom.

It has space group F-43m (No. 216), with a = 7.0192 Å, b = 7.0192 Å, c = 7.0192 Å, α = 90.00°, β = 90.00° and γ = 90.00°. The distinct sites, in fractional coordinates, are Ho at (0.0000, 0.0000, 0.0000), Ta at (0.2500, 0.2500, 0.7500) and Tl at (0.2500, 0.2500, 0.2500).

No. 4
Below is a relaxed structure of TlAuSeO, with properties calculated at the PBE level.

For the excess energy over the best structure of this formula in the dataset, the calculation gives 204 meV per atom.

It has space group P4/nmm (No. 129, origin choice 2), with a = 4.1041 Å, b = 4.1041 Å, c = 9.3584 Å, α = 90.00°, β = 90.00° and γ = 90.00°. The distinct sites, in fractional coordinates, are Tl at (0.2500, 0.2500, 0.1156), Au at (0.2500, 0.7500, 0.5000), Se at (0.2500, 0.2500, 0.6921) and O at (0.2500, 0.7500, 0.0000).

No. 5
Below is a relaxed structure of RbHfSc, with properties calculated at the PBE level.

For the excess energy over the best structure of this formula in the dataset, the calculation gives 0 meV per atom.

It has space group F-43m (No. 216), with a = 7.7605 Å, b = 7.7605 Å, c = 7.7605 Å, α = 90.00°, β = 90.00° and γ = 90.00°. The distinct sites, in fractional coordinates, are Rb at (0.0000, 0.0000, 0.0000), Hf at (0.0000, 0.0000, 0.5000) and Sc at (0.2500, 0.2500, 0.7500).

No. 6
Below is a relaxed structure of HfZrCd, with properties calculated at the PBE level.

For the excess energy over the best structure of this formula in the dataset, the calculation gives 0 meV per atom. For the formation energy, the calculation gives -0.3 eV per formula unit.

It has space group I4mm (No. 107), with a = 3.0808 Å, b = 3.0808 Å, c = 13.9578 Å, α = 90.00°, β = 90.00° and γ = 90.00°. The distinct sites, in fractional coordinates, are Hf at (0.0000, 0.0000, 0.0000), Zr at (0.0000, 0.0000, 0.6578) and Cd at (0.0000, 0.0000, 0.3302).

No. 7
Below is a relaxed structure of ZnH2, with properties calculated at the PBE level.

The total energy comes out at -0.094 hartree per atom.

It has space group P2_12_12_1 (No. 19), with a = 4.3954 Å, b = 4.3960 Å, c = 6.9788 Å, α = 90.00°, β = 90.00° and γ = 90.00°. The distinct sites, in fractional coordinates, are Zn at (0.0000, 0.2474, 0.1250), H at (0.2064, 0.4928, 0.2536) and H at (0.2493, 0.0436, 0.9978).

No. 8
Below is a relaxed structure of Mg2WSeN4, with properties calculated at the PBE level.

The total energy comes out at -0.247 hartree per atom.

It has space group P-6m2 (No. 187), with a = 2.9731 Å, b = 2.9731 Å, c = 10.6572 Å, α = 90.00°, β = 90.00° and γ = 120.00°. The distinct sites, in fractional coordinates, are Mg at (0.0000, 0.0000, 0.2478), W at (0.3333, 0.6667, 0.0000), Se at (0.6667, 0.3333, 0.5000), N at (0.3333, 0.6667, 0.3695) and N at (0.6667, 0.3333, 0.1209).

No. 9
Below is a relaxed structure of Er4PbC2O, with properties calculated at the PBE level.

The total energy comes out at -0.248 hartree per atom.

It has space group P-6m2 (No. 187), with a = 3.5167 Å, b = 3.5167 Å, c = 13.8324 Å, α = 90.00°, β = 90.00° and γ = 120.00°. The distinct sites, in fractional coordinates, are Er at (0.0000, 0.0000, 0.1120), Er at (0.3333, 0.6667, 0.3049), Pb at (0.0000, 0.0000, 0.5000), C at (0.6667, 0.3333, 0.2111) and O at (0.3333, 0.6667, 0.0000).

No. 10
Below is a relaxed structure of AgBr7, with properties calculated at the PBE level.

The total energy comes out at -0.068 hartree per atom.

It has space group P-1 (No. 2), with a = 7.6041 Å, b = 8.4137 Å, c = 9.7165 Å, α = 79.61°, β = 88.20° and γ = 63.38°. The distinct sites, in fractional coordinates, are Ag at (0.1967, 0.0527, 0.2195), Br at (0.0144, 0.1730, 0.7762), Br at (0.0348, 0.7218, 0.4920), Br at (0.0687, 0.6289, 0.7582), Br at (0.3182, 0.7716, 0.0655), Br at (0.3996, 0.2443, 0.0853), Br at (0.4826, 0.2381, 0.3710) and Br at (0.4924, 0.7566, 0.3846).

No. 11
Below is a relaxed structure of CsCd2, with properties calculated at the PBE level.

The total energy comes out at -0.033 hartree per atom.

It has space group Fd-3m (No. 227, origin choice 2), with a = 9.3888 Å, b = 9.3888 Å, c = 9.3888 Å, α = 90.00°, β = 90.00° and γ = 90.00°. The distinct sites, in fractional coordinates, are Cs at (0.1250, 0.1250, 0.1250) and Cd at (0.0000, 0.0000, 0.5000).

No. 12
Below is a relaxed structure of BaCu2GeSe3S, with properties calculated at the PBE level.

The total energy comes out at -0.157 hartree per atom.

It has space group P1 (No. 1), with a = 6.4755 Å, b = 6.5032 Å, c = 6.5048 Å, α = 60.70°, β = 60.82° and γ = 80.66°. The distinct sites, in fractional coordinates, are Ba at (0.0000, 0.0000, 0.0000), Cu at (0.3366, 0.6559, 0.4951), Cu at (0.6512, 0.3290, 0.5167), Ge at (0.4951, 0.4877, 0.9982), Se at (0.1480, 0.4793, 0.3879), Se at (0.5093, 0.8397, 0.6103), Se at (0.8353, 0.5002, 0.0507) and S at (0.4913, 0.1631, 0.9552).

No. 13
Below is a relaxed structure of ErTm2Sn3Pd3, with properties calculated at the PBE level.

The total energy comes out at -0.202 hartree per atom.

It has space group Amm2 (No. 38), with a = 3.8266 Å, b = 13.2054 Å, c = 7.6138 Å, α = 90.00°, β = 90.00° and γ = 90.00°. The distinct sites, in fractional coordinates, are Er at (0.0000, 0.0000, 0.0000), Tm at (0.0000, 0.2006, 0.3979), Sn at (0.5000, 0.0000, 0.3340), Sn at (0.5000, 0.1322, 0.7306), Pd at (0.0000, 0.0000, 0.5979) and Pd at (0.5000, 0.1673, 0.0989).

No. 14
Below is a relaxed structure of AlCd2Cu, with properties calculated at the PBE level.

The total energy comes out at -0.078 hartree per atom.

It has space group F-43m (No. 216), with a = 6.5628 Å, b = 6.5628 Å, c = 6.5628 Å, α = 90.00°, β = 90.00° and γ = 90.00°. The distinct sites, in fractional coordinates, are Al at (0.0000, 0.0000, 0.0000), Cd at (0.0000, 0.0000, 0.5000), Cd at (0.2500, 0.2500, 0.7500) and Cu at (0.2500, 0.2500, 0.2500).

No. 15
Below is a relaxed structure of PmAuSeO, with properties calculated at the PBE level.

For the excess energy over the best structure of this formula in the dataset, the calculation gives 0 meV per atom.

It has space group Pcca (No. 54), with a = 5.7535 Å, b = 9.5675 Å, c = 5.7667 Å, α = 90.00°, β = 90.00° and γ = 90.00°. The distinct sites, in fractional coordinates, are Pm at (0.0000, 0.1206, 0.2500), Au at (0.2500, 0.5000, 0.2431), Se at (0.0000, 0.2823, 0.7500) and O at (0.2500, 0.0000, 0.0000).

No. 16
Below is a relaxed structure of TaZnCuPb, with properties calculated at the PBE level.

For the excess energy over the best structure of this formula in the dataset, the calculation gives 16 meV per atom.

It has space group F-43m (No. 216), with a = 6.6404 Å, b = 6.6404 Å, c = 6.6404 Å, α = 90.00°, β = 90.00° and γ = 90.00°. The distinct sites, in fractional coordinates, are Ta at (0.0000, 0.0000, 0.0000), Zn at (0.2500, 0.2500, 0.2500), Cu at (0.2500, 0.2500, 0.7500) and Pb at (0.0000, 0.0000, 0.5000).

No. 17
Below is a relaxed structure of Gd12Re5C15, with properties calculated at the PBE level.

The total energy comes out at -0.307 hartree per atom.

It has space group P-62m (No. 189), with a = 10.8021 Å, b = 10.8021 Å, c = 5.1667 Å, α = 90.00°, β = 90.00° and γ = 120.00°. The distinct sites, in fractional coordinates, are Gd at (0.0000, 0.4259, 0.0000), Gd at (0.0000, 0.7950, 0.0000), Gd at (0.1864, 0.7299, 0.5000), Re at (0.0000, 0.1515, 0.5000), Re at (0.3333, 0.6667, 0.0000), C at (0.0000, 0.3315, 0.5000), C at (0.0000, 0.4567, 0.5000), C at (0.0000, 0.7863, 0.5000) and C at (0.1882, 0.7188, 0.0000).

No. 18
Below is a relaxed structure of DyInFeSe3, with properties calculated at the PBE level.

The total energy comes out at -0.192 hartree per atom.

It has space group Cmcm (No. 63), with a = 4.0708 Å, b = 14.7243 Å, c = 10.7219 Å, α = 90.00°, β = 90.00° and γ = 90.00°. The distinct sites, in fractional coordinates, are Dy at (0.0000, 0.0000, 0.0000), In at (0.0000, 0.2442, 0.2500), Fe at (0.0000, 0.4722, 0.7500), Se at (0.0000, 0.0705, 0.7500) and Se at (0.0000, 0.3725, 0.5700).

No. 19
Below is a relaxed structure of MgTcBMo, with properties calculated at the PBE level.

For the excess energy over the best structure of this formula in the dataset, the calculation gives 0 meV per atom.

It has space group F-43m (No. 216), with a = 5.9538 Å, b = 5.9538 Å, c = 5.9538 Å, α = 90.00°, β = 90.00° and γ = 90.00°. The distinct sites, in fractional coordinates, are Mg at (0.0000, 0.0000, 0.0000), Tc at (0.0000, 0.0000, 0.5000), B at (0.2500, 0.2500, 0.2500) and Mo at (0.2500, 0.2500, 0.7500).

No. 20
Below is a relaxed structure of KRbGa4Au2, with properties calculated at the PBE level.

The total energy comes out at -0.104 hartree per atom.

It has space group Amm2 (No. 38), with a = 7.6730 Å, b = 4.4213 Å, c = 12.5978 Å, α = 90.00°, β = 90.00° and γ = 90.00°. The distinct sites, in fractional coordinates, are K at (0.0000, 0.0000, 0.0000), Rb at (0.5000, 0.0000, 0.9127), Ga at (0.1857, 0.0000, 0.2721), Ga at (0.3111, 0.0000, 0.6369), Au at (0.0000, 0.0000, 0.7305) and Au at (0.5000, 0.0000, 0.1812).

No. 21
Below is a relaxed structure of Rb2ScCuBr6, with properties calculated at the PBE level.

The total energy comes out at -0.133 hartree per atom.

It has space group R-3 (No. 148, hexagonal axes), with a = 7.5947 Å, b = 7.5947 Å, c = 18.3730 Å, α = 90.00°, β = 90.00° and γ = 120.00°. The distinct sites, in fractional coordinates, are Rb at (0.0000, 0.0000, 0.2504), Sc at (0.0000, 0.0000, 0.0000), Cu at (0.0000, 0.0000, 0.5000) and Br at (0.0029, 0.5398, 0.7500).

No. 22
Below is a relaxed structure of AcTlPt4, with properties calculated at the PBE level.

The total energy comes out at -0.215 hartree per atom.

It has space group F-43m (No. 216), with a = 7.8599 Å, b = 7.8599 Å, c = 7.8599 Å, α = 90.00°, β = 90.00° and γ = 90.00°. The distinct sites, in fractional coordinates, are Ac at (0.0000, 0.0000, 0.0000), Tl at (0.2500, 0.2500, 0.7500) and Pt at (0.1242, 0.1242, 0.3758).

No. 23
Below is a relaxed structure of HoGaNiPd, with properties calculated at the PBE level.

For the excess energy over the best structure of this formula in the dataset, the calculation gives 0 meV per atom.

It has space group P-3m1 (No. 164), with a = 4.2745 Å, b = 4.2745 Å, c = 8.8740 Å, α = 90.00°, β = 90.00° and γ = 120.00°. The distinct sites, in fractional coordinates, are Ho at (0.3333, 0.6667, 0.2634), Ga at (0.0000, 0.0000, 0.0000), Ga at (0.0000, 0.0000, 0.5000), Ni at (0.3333, 0.6667, 0.5697) and Pd at (0.3333, 0.6667, 0.9118).

No. 24
Below is a relaxed structure of LuZrCoPb, with properties calculated at the PBE level.

For the excess energy over the best structure of this formula in the dataset, the calculation gives 0 meV per atom.

It has space group F-43m (No. 216), with a = 6.8908 Å, b = 6.8908 Å, c = 6.8908 Å, α = 90.00°, β = 90.00° and γ = 90.00°. The distinct sites, in fractional coordinates, are Lu at (0.0000, 0.0000, 0.0000), Zr at (0.2500, 0.2500, 0.2500), Co at (0.2500, 0.2500, 0.7500) and Pb at (0.0000, 0.0000, 0.5000).